A geometry-optimized SrBe structure. Source: the Alexandria database, functional PBE.

Properties
Raw total energy ... -36.889 eV/cell
Density of states at the Fermi level ... 0.52 states/eV per atom
Space group ... Pnma
DFT formation energy ... 398 meV/atom
E above lowest polymorph ... 19 kJ/mol of formula units

a b c (Å): 6.175 9.540 6.947
angles (deg): 90.00 90.00 90.00
Fractional coordinates of all 16 atoms:
Sr  0.250  0.076  0.091
Sr  0.250  0.424  0.091
Sr  0.250  0.576  0.591
Sr  0.250  0.924  0.591
Sr  0.750  0.076  0.409
Sr  0.750  0.424  0.409
Sr  0.750  0.576  0.909
Sr  0.750  0.924  0.909
Be  0.004  0.250  0.749
Be  0.245  0.750  0.031
Be  0.255  0.250  0.531
Be  0.496  0.750  0.249
Be  0.504  0.250  0.751
Be  0.745  0.750  0.469
Be  0.755  0.250  0.969
Be  0.996  0.750  0.251

---

A geometry-optimized Sr2Be structure. Source: the Alexandria database, functional PBE.

Properties
Raw total energy ... -6.059 eV/cell
Density of states at the Fermi level ... 0.96 states/eV per atom
Space group ... I4/mmm
DFT formation energy ... 344 meV/atom
E above lowest polymorph ... 11 kJ/mol of formula units

a b c (Å): 7.587 7.587 7.587
angles (deg): 150.64 150.64 42.00
Fractional coordinates of all 3 atoms:
Sr  0.128  0.128  0.000
Sr  0.872  0.872  0.000
Be  0.500  0.500  0.000

---

A geometry-optimized SrBe2 structure. Source: the Alexandria database, functional PBE.

Properties
Raw total energy ... -15.724 eV/cell
Density of states at the Fermi level ... 0.28 states/eV per atom
Space group ... Cmcm
DFT formation energy ... 424 meV/atom
E above lowest polymorph ... 42 kJ/mol of formula units

a b c (Å): 5.968 5.968 4.117
angles (deg): 90.00 90.00 46.10
Fractional coordinates of all 6 atoms:
Sr  0.237  0.763  0.750
Sr  0.763  0.237  0.250
Be  0.143  0.397  0.250
Be  0.397  0.143  0.750
Be  0.603  0.857  0.250
Be  0.857  0.603  0.750

---

A geometry-optimized SrBe2 structure. Source: the Alexandria database, functional PBE.

Properties
Raw total energy ... -7.251 eV/cell
Density of states at the Fermi level ... 0.86 states/eV per atom
Space group ... I4/mmm
DFT formation energy ... 628 meV/atom
E above lowest polymorph ... 101 kJ/mol of formula units

a b c (Å): 4.634 4.634 4.634
angles (deg): 101.49 101.49 126.98
Fractional coordinates of all 3 atoms:
Sr  0.000  0.000  0.000
Be  0.250  0.750  0.500
Be  0.750  0.250  0.500

---

A geometry-optimized Sr3Be5 structure. Source: the Alexandria database, functional PBE.

Properties
Raw total energy ... -17.410 eV/cell
Density of states at the Fermi level ... 0.82 states/eV per atom
Space group ... Cmmm
DFT formation energy ... 783 meV/atom

a b c (Å): 6.448 6.448 4.610
angles (deg): 90.00 90.00 112.46
Fractional coordinates of all 8 atoms:
Sr  0.000  0.000  0.000
Sr  0.252  0.748  0.500
Sr  0.748  0.252  0.500
Be  0.000  0.500  0.000
Be  0.344  0.344  0.500
Be  0.500  0.000  0.000
Be  0.500  0.500  0.000
Be  0.656  0.656  0.500

---

A geometry-optimized SrBe structure. Source: the Alexandria database, functional PBE.

Properties
Raw total energy ... -4.317 eV/cell
Density of states at the Fermi level ... 0.59 states/eV per atom
Space group ... P4/mmm
DFT formation energy ... 546 meV/atom
E above lowest polymorph ... 48 kJ/mol of formula units

a b c (Å): 3.772 3.772 3.717
angles (deg): 90.00 90.00 90.00
Fractional coordinates of all 2 atoms:
Sr  0.000  0.000  0.000
Be  0.500  0.500  0.500

---

A geometry-optimized Sr2Be structure. Source: the Alexandria database, functional PBE.

Properties
Raw total energy ... -23.088 eV/cell
Density of states at the Fermi level ... 1.35 states/eV per atom
Space group ... Pa-3
DFT formation energy ... 439 meV/atom
E above lowest polymorph ... 38 kJ/mol of formula units

a b c (Å): 7.737 7.737 7.737
angles (deg): 90.00 90.00 90.00
Fractional coordinates of all 12 atoms:
Sr  0.161  0.161  0.161
Sr  0.161  0.339  0.661
Sr  0.339  0.661  0.161
Sr  0.339  0.839  0.661
Sr  0.661  0.161  0.339
Sr  0.661  0.339  0.839
Sr  0.839  0.661  0.339
Sr  0.839  0.839  0.839
Be  0.000  0.000  0.500
Be  0.000  0.500  0.000
Be  0.500  0.000  0.000
Be  0.500  0.500  0.500

---

A geometry-optimized Sr5Be structure. Source: the Alexandria database, functional PBE.

Properties
Raw total energy ... -10.220 eV/cell
Density of states at the Fermi level ... 1.19 states/eV per atom
Space group ... Cmmm
DFT formation energy ... 319 meV/atom
E above lowest polymorph ... 73 kJ/mol of formula units

a b c (Å): 9.742 9.742 6.402
angles (deg): 90.00 90.00 153.63
Fractional coordinates of all 6 atoms:
Sr  0.000  0.000  0.000
Sr  0.129  0.871  0.500
Sr  0.332  0.668  0.000
Sr  0.668  0.332  0.000
Sr  0.871  0.129  0.500
Be  0.500  0.500  0.500

---

A geometry-optimized SrBe structure. Source: the Alexandria database, functional PBE.

Properties
Raw total energy ... -9.619 eV/cell
Density of states at the Fermi level ... 0.40 states/eV per atom
Space group ... P6_3/mmc
DFT formation energy ... 299 meV/atom
E above lowest polymorph ... 0 kJ/mol of formula units

a b c (Å): 5.362 5.362 4.257
angles (deg): 90.00 90.00 120.00
Fractional coordinates of all 4 atoms:
Sr  0.333  0.667  0.250
Sr  0.667  0.333  0.750
Be  0.000  0.000  0.000
Be  0.000  0.000  0.500

---

A geometry-optimized SrBe2 structure. Source: the Alexandria database, functional PBE.

Properties
Raw total energy ... -16.600 eV/cell
Density of states at the Fermi level ... 0.44 states/eV per atom
Space group ... C2/m
DFT formation energy ... 278 meV/atom
E above lowest polymorph ... 0 kJ/mol of formula units

a b c (Å): 6.226 6.226 5.701
angles (deg): 105.87 105.87 35.93
Fractional coordinates of all 6 atoms:
Sr  0.100  0.100  0.312
Sr  0.900  0.900  0.688
Be  0.214  0.214  0.903
Be  0.367  0.367  0.197
Be  0.633  0.633  0.803
Be  0.786  0.786  0.097

---

A geometry-optimized Sr5Be structure. Source: the Alexandria database, functional PBE.

Properties
Raw total energy ... -10.979 eV/cell
Density of states at the Fermi level ... 0.85 states/eV per atom
Space group ... P4/mmm
DFT formation energy ... 193 meV/atom
E above lowest polymorph ... 0 kJ/mol of formula units

a b c (Å): 3.991 3.991 16.717
angles (deg): 90.00 90.00 90.00
Fractional coordinates of all 6 atoms:
Sr  0.000  0.000  0.000
Sr  0.000  0.000  0.393
Sr  0.000  0.000  0.607
Sr  0.500  0.500  0.195
Sr  0.500  0.500  0.805
Be  0.500  0.500  0.500

---

A geometry-optimized SrBe2 structure. Source: the Alexandria database, functional PBE.

Properties
Raw total energy ... -16.178 eV/cell
Density of states at the Fermi level ... 0.55 states/eV per atom
Space group ... Cm
DFT formation energy ... 348 meV/atom
E above lowest polymorph ... 20 kJ/mol of formula units

a b c (Å): 5.998 5.998 6.124
angles (deg): 106.76 106.76 37.80
Fractional coordinates of all 6 atoms:
Sr  0.000  0.000  0.000
Sr  0.675  0.675  0.610
Be  0.311  0.311  0.207
Be  0.399  0.399  0.554
Be  0.739  0.739  0.140
Be  0.898  0.898  0.417

---

Question: Look up the raw total energy of the third one.
Answer: -15.724 eV/cell